Sr3Sn3Hg8 | PBE-GGA | relaxed

Values from the calculation:
Polymorph energy (0 for the lowest one): 8.1 meV/atom
Space group: No. 71
Total magnetization: 0.000 μB per atom
Fermi-level density of states: 6.1 states/eV per cell
Energy of formation from the pure elements: -0.338 eV per atom

a = 9.490 Å, b = 9.490 Å, c = 9.490 Å
α = 150.58°, β = 106.08°, γ = 81.49°
Element x y z (fractional)
Sr (0.000, 0.000, 0.000)
Sr (0.302, 0.302, 0.000)
Sr (0.698, 0.698, 0.000)
Sn (0.303, 0.500, 0.803)
Sn (0.500, 0.000, 0.500)
Sn (0.697, 0.500, 0.197)
Hg (0.028, 0.656, 0.373)
Hg (0.137, 0.853, 0.283)
Hg (0.283, 0.656, 0.627)
Hg (0.430, 0.147, 0.283)
Hg (0.570, 0.853, 0.717)
Hg (0.717, 0.344, 0.373)
Hg (0.863, 0.147, 0.717)
Hg (0.972, 0.344, 0.627)